1.
The following is a DFT calculation (GGA-PBE) of a relaxed structure of Dy6In2Pt.

Structure (POSCAR):
```
Dy6In2Pt
1.0
-2.5408 3.6197 7.5224
2.5408 -3.6197 7.5224
2.5408 3.6197 -7.5224
Dy In Pt
6 2 1
Direct
0.0825 0.3431 0.7394
0.2283 0.0000 0.2283
0.3963 0.6569 0.7394
0.6037 0.3431 0.2606
0.7717 0.0000 0.7717
0.9175 0.6569 0.2606
0.3328 0.8328 0.5000
0.6672 0.1672 0.5000
0.0000 0.5000 0.5000
```

Results
The calculation puts the formation energy at -351 meV/atom.

***

2.
The following is a DFT calculation (GGA-PBE) of a relaxed structure of HoZn2Fe9.

Structure (POSCAR):
```
HoZn2Fe9
1.0
8.1807 0.0000 0.0000
0.0000 8.1807 0.0000
0.0000 0.0000 4.8232
Ho Zn Fe
2 4 18
Direct
0.0000 0.0000 0.0000
0.5000 0.5000 0.0000
0.1186 0.3814 0.0000
0.3814 0.8814 0.0000
0.6186 0.1186 0.0000
0.8814 0.6186 0.0000
0.0000 0.5000 0.5000
0.0656 0.2118 0.5000
0.1783 0.6783 0.2428
0.1783 0.6783 0.7572
0.2118 0.9344 0.5000
0.2882 0.4344 0.5000
0.3217 0.1783 0.2428
0.3217 0.1783 0.7572
0.4344 0.7118 0.5000
0.5000 0.0000 0.5000
0.5656 0.2882 0.5000
0.6783 0.8217 0.2428
0.6783 0.8217 0.7572
0.7118 0.5656 0.5000
0.7882 0.0656 0.5000
0.8217 0.3217 0.2428
0.8217 0.3217 0.7572
0.9344 0.7882 0.5000
```

Results
The calculation puts the formation energy at 25 meV/atom.

***

3.
The following is a DFT calculation (GGA-PBE) of a relaxed structure of TaTeW2.

Structure (POSCAR):
```
TaTeW2
1.0
3.1394 0.0000 0.0000
0.0000 4.2427 0.0000
0.0000 0.0000 5.4263
Ta Te W
1 1 2
Direct
0.0000 0.0000 0.0000
0.5000 0.5000 0.2574
0.0000 0.0000 0.5222
0.5000 0.5000 0.7502
```

***

4.
The following is a DFT calculation (GGA-PBE) of a relaxed structure of CsRb3Se.

Structure (POSCAR):
```
CsRb3Se
1.0
7.6132 0.0000 0.0000
0.0000 7.6132 0.0000
0.0000 0.0000 7.6132
Cs Rb Se
1 3 1
Direct
0.0000 0.0000 0.0000
0.0000 0.0000 0.5000
0.0000 0.5000 0.0000
0.5000 0.0000 0.0000
0.5000 0.5000 0.5000
```

***

5.
The following is a DFT calculation (GGA-PBE) of a relaxed structure of Th3SbC.

Structure (POSCAR):
```
Th3SbC
1.0
9.3340 0.0000 0.0000
0.0000 6.4948 0.0000
-3.9043 0.0000 8.8553
Th Sb C
12 4 4
Direct
0.0488 0.0954 0.3487
0.0488 0.4046 0.8487
0.1847 0.5857 0.5407
0.1847 0.9143 0.0407
0.3518 0.1384 0.7638
0.3518 0.3616 0.2638
0.6482 0.6384 0.7362
0.6482 0.8616 0.2362
0.8153 0.0857 0.9593
0.8153 0.4143 0.4593
0.9512 0.5954 0.1513
0.9512 0.9046 0.6513
0.3775 0.6600 0.8905
0.3775 0.8400 0.3905
0.6225 0.1600 0.6095
0.6225 0.3400 0.1095
0.0812 0.2479 0.1119
0.0812 0.2521 0.6119
0.9188 0.7479 0.3881
0.9188 0.7521 0.8881
```

***

6.
The following is a DFT calculation (GGA-PBE) of a relaxed structure of Li4Pa3FeSe8.

Structure (POSCAR):
```
Li4Pa3FeSe8
1.0
3.9231 2.2650 6.6418
-3.9231 2.2650 6.6418
0.0000 -4.5300 6.6418
Li Pa Fe Se
4 3 1 8
Direct
0.0000 0.0000 0.0000
0.0000 0.5000 0.5000
0.5000 0.0000 0.5000
0.5000 0.5000 0.0000
0.0000 0.0000 0.5000
0.0000 0.5000 0.0000
0.5000 0.0000 0.0000
0.5000 0.5000 0.5000
0.2569 0.2569 0.2569
0.2566 0.2566 0.7348
0.2566 0.7348 0.2566
0.2652 0.7434 0.7434
0.7348 0.2566 0.2566
0.7434 0.2652 0.7434
0.7434 0.7434 0.2652
0.7431 0.7431 0.7431
```

***

7.
The following is a DFT calculation (GGA-PBE) of a relaxed structure of Y3BeAg.

Structure (POSCAR):
```
Y3BeAg
1.0
5.4792 0.0000 0.0000
0.0000 5.4792 0.0000
0.0000 0.0000 5.4792
Y Be Ag
3 1 1
Direct
0.0000 0.0000 0.5000
0.0000 0.5000 0.0000
0.5000 0.0000 0.0000
0.5000 0.5000 0.5000
0.0000 0.0000 0.0000
```

Results
The calculation puts the formation energy at 728 meV/atom.

***

8.
The following is a DFT calculation (GGA-PBE) of a relaxed structure of Li3YBe.

Structure (POSCAR):
```
Li3YBe
1.0
4.5757 0.0000 0.0000
0.0000 4.5757 0.0000
0.0000 0.0000 4.5757
Li Y Be
3 1 1
Direct
0.0000 0.0000 0.5000
0.0000 0.5000 0.0000
0.5000 0.0000 0.0000
0.5000 0.5000 0.5000
0.0000 0.0000 0.0000
```

Results
The calculation puts the formation energy at 360 meV/atom.

***

9.
The following is a DFT calculation (GGA-PBE) of a relaxed structure of CdFe2W.

Structure (POSCAR):
```
CdFe2W
1.0
6.1926 0.0000 0.0000
0.0000 6.1926 0.0000
0.0000 0.0000 6.1926
Cd Fe W
4 8 4
Direct
0.0000 0.0000 0.0000
0.0000 0.5000 0.5000
0.5000 0.0000 0.5000
0.5000 0.5000 0.0000
0.0000 0.0000 0.5000
0.0000 0.5000 0.0000
0.2500 0.2500 0.7500
0.2500 0.7500 0.2500
0.5000 0.0000 0.0000
0.5000 0.5000 0.5000
0.7500 0.2500 0.2500
0.7500 0.7500 0.7500
0.2500 0.2500 0.2500
0.2500 0.7500 0.7500
0.7500 0.2500 0.7500
0.7500 0.7500 0.2500
```

Results
The calculation puts the formation energy at 629 meV/atom.

***

Number 1: DFT total energy -0.1727 Ha/atom, D(E_F) 6.390 states/eV per cell. Number 2: DFT total energy -0.2542 Ha/atom, D(E_F) 30.933 states/eV per cell. Number 3: DFT total energy -0.3567 Ha/atom, D(E_F) 3.167 states/eV per cell. Number 4: DFT total energy -0.0398 Ha/atom, D(E_F) 0.153 states/eV per cell. Number 5: DFT total energy -0.2752 Ha/atom, D(E_F) 19.086 states/eV per cell. Number 6: DFT total energy -0.2076 Ha/atom, D(E_F) 24.698 states/eV per cell. Number 7: DFT total energy -0.1641 Ha/atom, D(E_F) 6.837 states/eV per cell. Number 8: DFT total energy -0.1039 Ha/atom, D(E_F) 2.171 states/eV per cell. Number 9: DFT total energy -0.2598 Ha/atom, D(E_F) 15.035 states/eV per cell.